! LaAgPb2 (GGA-PBE, optimized geometry); values from VASP
&SYSTEM
  ibrav = 0, nat = 4, ntyp = 3
/
ATOMIC_SPECIES
Pb 207.20 Pb.upf
La 138.91 La.upf
Ag 107.87 Ag.upf
ATOMIC_POSITIONS crystal
Pb 0.981 0.981 0.056
Pb 0.519 0.519 0.444
La 0.750 0.750 0.750
Ag 0.250 0.250 0.250
CELL_PARAMETERS angstrom
-3.575 -3.100 -1.160
0.069 -4.562 1.710
-4.030 -0.924 4.645
! **Uncorrected energy**: -4.06 eV per atom
! **Density**: 9.64 g/cm³
! **Volume**: 28.5 Å³ per atom
! **ΔH_f (0 K)**: -1.1 eV/f.u.
! **SG**: No. 12



! La6Ag5Pb (GGA-PBE, optimized geometry); values from VASP
&SYSTEM
  ibrav = 0, nat = 12, ntyp = 3
/
ATOMIC_SPECIES
Ag 107.87 Ag.upf
La 138.91 La.upf
Pb 207.20 Pb.upf
ATOMIC_POSITIONS crystal
Ag 0.000 0.500 0.000
Ag 0.663 0.163 0.327
Ag 0.667 0.667 0.334
Ag 0.337 0.837 0.673
Ag 0.333 0.333 0.666
La 0.830 0.575 0.660
La 0.500 0.741 0.000
La 0.830 0.084 0.660
La 0.170 0.916 0.340
La 0.500 0.259 0.000
La 0.170 0.425 0.340
Pb 0.000 0.000 0.000
CELL_PARAMETERS angstrom
-2.894 -4.002 2.246
1.377 -4.490 -6.227
7.501 1.371 5.555
! **Uncorrected energy**: -4.27 eV per atom
! **Density**: 7.61 g/cm³
! **Volume**: 28.7 Å³ per atom
! **ΔH_f (0 K)**: -3.7 eV/f.u.
! **SG**: No. 71